## NbRe2Ge (GGA-PBE)

Data for crystalline NbRe2Ge at its relaxed geometry.

Its crystal system is trigonal. The calculation puts the energy of formation from the pure elements at 0.64 eV/atom. Its total moment is 0.00 Bohr magnetons per cell.

The structure belongs to space group R-3m (No. 166, hexagonal axes); the cell edges are 2.8798, 2.8798 and 27.5317 Å and the angles 90.00°, 90.00° and 120.00°. The inequivalent atoms are Nb at (0.0000, 0.0000, 0.0000), Re at (0.0000, 0.0000, 0.0931) and Ge at (0.0000, 0.0000, 0.5000).